Entry 1:
# ReHg2Sb, optimized geometry, DFT PBEsol
data_ReHg2Sb
_chemical_formula_sum 'Re2 Hg4 Sb2'
_symmetry_space_group_name_H-M 'C m m m'
_symmetry_Int_Tables_number 65
_symmetry_space_group_name_Hall '-C 2 2'
_cell_length_a 5.925
_cell_length_b 8.936
_cell_length_c 2.949
_cell_angle_alpha 90.00
_cell_angle_beta 90.00
_cell_angle_gamma 90.00
loop_
_atom_site_label
_atom_site_fract_x
_atom_site_fract_y
_atom_site_fract_z
Re1 0.000 0.000 0.000
Hg1 0.250 0.250 0.500
Sb1 0.000 0.500 0.000
# **Energy relative to the elements, uncorrected**: 816 meV/atom

---

Entry 2:
# SrNi2P, optimized geometry, DFT PBEsol
data_SrNi2P
_chemical_formula_sum 'Sr2 Ni4 P2'
_symmetry_space_group_name_H-M 'I m m m'
_symmetry_Int_Tables_number 71
_symmetry_space_group_name_Hall '-I 2 2'
_cell_length_a 3.582
_cell_length_b 5.331
_cell_length_c 7.455
_cell_angle_alpha 90.00
_cell_angle_beta 90.00
_cell_angle_gamma 90.00
loop_
_atom_site_label
_atom_site_fract_x
_atom_site_fract_y
_atom_site_fract_z
Sr1 0.000 0.000 0.000
Ni1 0.000 0.500 0.167
P1 0.000 0.000 0.500
# **Formation energy from the elements**: -0.12 eV/atom

---

Entry 3:
# NiBiAsBr2, optimized geometry, DFT PBEsol
data_NiBiAsBr2
_chemical_formula_sum 'Ni1 Bi1 As1 Br2'
_symmetry_space_group_name_H-M 'P 4/m m m'
_symmetry_Int_Tables_number 123
_symmetry_space_group_name_Hall '-P 4 2'
_cell_length_a 5.500
_cell_length_b 5.500
_cell_length_c 5.616
_cell_angle_alpha 90.00
_cell_angle_beta 90.00
_cell_angle_gamma 90.00
loop_
_atom_site_label
_atom_site_fract_x
_atom_site_fract_y
_atom_site_fract_z
Ni1 0.000 0.000 0.000
Bi1 0.500 0.500 0.500
As1 0.500 0.500 0.000
Br1 0.000 0.500 0.500
# **Energy relative to the elements, uncorrected**: 963 meV/atom

---

Entry 4:
# FeIrPb2, optimized geometry, DFT PBEsol
data_FeIrPb2
_chemical_formula_sum 'Fe2 Ir2 Pb4'
_symmetry_space_group_name_H-M 'I 4/m m m'
_symmetry_Int_Tables_number 139
_symmetry_space_group_name_Hall '-I 4 2'
_cell_length_a 4.703
_cell_length_b 4.703
_cell_length_c 6.636
_cell_angle_alpha 90.00
_cell_angle_beta 90.00
_cell_angle_gamma 90.00
loop_
_atom_site_label
_atom_site_fract_x
_atom_site_fract_y
_atom_site_fract_z
Fe1 0.000 0.000 0.000
Ir1 0.000 0.000 0.500
Pb1 0.000 0.500 0.250
# **Energy above the most stable polymorph in this dataset**: 240 meV per atom
# **Formation energy from the elements**: 0.61 eV/atom

---

Entry 5:
# Zr2NiAs, optimized geometry, DFT PBEsol
data_Zr2NiAs
_chemical_formula_sum 'Zr4 Ni2 As2'
_symmetry_space_group_name_H-M 'A m m 2'
_symmetry_Int_Tables_number 38
_cell_length_a 3.742
_cell_length_b 3.669
_cell_length_c 10.015
_cell_angle_alpha 90.00
_cell_angle_beta 90.00
_cell_angle_gamma 90.00
loop_
_symmetry_equiv_pos_as_xyz
'x,y,z'
'-x,-y,z'
'-x,y,z'
'x,-y,z'
'x,y+1/2,z+1/2'
'-x,-y+1/2,z+1/2'
'-x,y+1/2,z+1/2'
'x,-y+1/2,z+1/2'
loop_
_atom_site_label
_atom_site_fract_x
_atom_site_fract_y
_atom_site_fract_z
Zr1 0.000 0.000 0.000
Zr2 0.500 0.000 0.296
Ni1 0.500 0.000 0.571
As1 0.000 0.000 0.720
# **Formation energy from the elements**: -0.88 eV/atom

---

Entry 6:
# YSbPb2O6, optimized geometry, DFT PBEsol
data_YSbPb2O6
_chemical_formula_sum 'Y2 Sb2 Pb4 O12'
_symmetry_space_group_name_H-M 'C 1 2/m 1'
_symmetry_Int_Tables_number 12
_cell_length_a 10.017
_cell_length_b 5.836
_cell_length_c 5.927
_cell_angle_alpha 90.00
_cell_angle_beta 124.93
_cell_angle_gamma 90.00
loop_
_symmetry_equiv_pos_as_xyz
'x,y,z'
'-x,-y,-z'
'-x,y,-z'
'x,-y,z'
'x+1/2,y+1/2,z'
'-x+1/2,-y+1/2,-z'
'-x+1/2,y+1/2,-z'
'x+1/2,-y+1/2,z'
loop_
_atom_site_label
_atom_site_fract_x
_atom_site_fract_y
_atom_site_fract_z
Y1 0.000 0.000 0.000
Sb1 0.000 0.500 0.500
Pb1 0.246 0.000 0.725
O1 0.048 0.259 0.315
O2 0.235 0.500 0.811
# **Energy above the most stable polymorph in this dataset**: 7 meV per atom
# **Energy relative to the elements, uncorrected**: -1909 meV/atom

---

Entry 7:
# Ga4Bi2O9, optimized geometry, DFT PBEsol
data_Ga4Bi2O9
_chemical_formula_sum 'Ga16 Bi8 O36'
_symmetry_space_group_name_H-M 'P n m a'
_symmetry_Int_Tables_number 62
_cell_length_a 8.369
_cell_length_b 11.840
_cell_length_c 7.845
_cell_angle_alpha 90.00
_cell_angle_beta 90.00
_cell_angle_gamma 90.00
loop_
_symmetry_equiv_pos_as_xyz
'x,y,z'
'-x,-y,-z'
'-x+1/2,-y,z+1/2'
'x+1/2,y,-z+1/2'
'x+1/2,-y+1/2,-z+1/2'
'-x+1/2,y+1/2,z+1/2'
'-x,y+1/2,-z'
'x,-y+1/2,z'
loop_
_atom_site_label
_atom_site_fract_x
_atom_site_fract_y
_atom_site_fract_z
Ga1 0.002 0.129 0.007
Ga2 0.157 0.750 0.352
Ga3 0.171 0.250 0.357
Bi1 0.174 0.010 0.671
O1 0.030 0.250 0.532
O2 0.064 0.504 0.153
O3 0.087 0.250 0.142
O4 0.096 0.750 0.125
O5 0.205 0.619 0.866
O6 0.216 0.122 0.885
# **Energy relative to the elements, uncorrected**: -1690 meV/atom

---

Entry 8:
# RbAl2Ge2, optimized geometry, DFT PBEsol
data_RbAl2Ge2
_chemical_formula_sum 'Rb2 Al4 Ge4'
_symmetry_space_group_name_H-M 'I 4/m m m'
_symmetry_Int_Tables_number 139
_symmetry_space_group_name_Hall '-I 4 2'
_cell_length_a 3.968
_cell_length_b 3.968
_cell_length_c 15.848
_cell_angle_alpha 90.00
_cell_angle_beta 90.00
_cell_angle_gamma 90.00
loop_
_atom_site_label
_atom_site_fract_x
_atom_site_fract_y
_atom_site_fract_z
Rb1 0.000 0.000 0.000
Al1 0.000 0.500 0.250
Ge1 0.000 0.000 0.358
# **Energy above the most stable polymorph in this dataset**: 0 meV per atom
# **Formation energy from the elements**: -0.12 eV/atom